DFT (PBE) results for a relaxed Y2AlCu7 crystal.

- Energy of formation: -205 meV/atom
- Symmetry: No. 115
- Spin magnetization: 0.00 μB per formula unit

Lattice parameters (Å, degrees): 3.8327 3.8327 11.1414 90.00 90.00 90.00
Closest atoms and distances in Å follow each position.
Positions (direct):
Cu1 0.5000 0.5000 0.5000  8 Cu 2.45-2.71
Cu2 0.0000 0.5000 0.6370  5 Cu 2.43-2.45
Cu3 0.5000 0.0000 0.1447  3 Cu 2.43-2.50, 2 Al 2.50
Cu4 0.0000 0.0000 0.5000  8 Cu 2.45-2.71
Cu5 0.5000 0.0000 0.3630  5 Cu 2.43-2.45
Cu6 0.0000 0.0000 0.0000  4 Cu 2.50, 4 Al 2.71
Cu7 0.0000 0.5000 0.8553  3 Cu 2.43-2.50, 2 Al 2.50
Al1 0.5000 0.5000 0.0000  8 Cu 2.50-2.71
Y1 0.5000 0.0000 0.7456  8 Cu 2.97
Y2 0.0000 0.5000 0.2544  8 Cu 2.97